{"formula": "La2CuO4", "functional": "PBEsol", "state": "optimized geometry", "lattice_angstrom": [[3.754, 0.006, 0.000], [-0.006, 3.754, 0.000], [-1.874, -1.880, 6.522]], "species": ["La", "O", "Cu", "O", "La", "O", "O"], "frac_coords": [[0.368, 0.355, 0.723], [0.006, 0.493, 0.000], [0.007, 0.993, 0.000], [0.507, 0.994, 0.000], [0.645, 0.632, 0.277], [0.195, 0.174, 0.369], [0.826, 0.805, 0.631]], "sg": "Fmm2, No. 42", "de_polymorph_ev_per_atom": 0.007, "total_energy_ev_per_atom": -7.77, "raw_formation_energy_ev_per_atom": -2.620}